[1]
Below is a relaxed structure of Re3Au, with properties calculated at the GGA-PBEsol level.

Unit cell a=3.8987 b=3.8987 c=3.8987 alpha=90.00 beta=90.00 gamma=90.00
Sites, in units of the cell vectors:
Au (0.0000, 0.0000, 0.0000)
Re (0.0000, 0.5000, 0.5000)
Re (0.5000, 0.0000, 0.5000)
Re (0.5000, 0.5000, 0.0000)

Values from the calculation:
**Magnetic moment**: 0.00 μB per formula unit
**Volume**: 59.3 Å³ per cell
**Theoretical density**: 21.17 g/cm³
**Uncorrected energy**: -10.650 eV per atom

[2]
Below is a relaxed structure of Be3FeGe, with properties calculated at the GGA-PBEsol level.

Unit cell a=4.1207 b=4.1207 c=4.1207 alpha=90.00 beta=90.00 gamma=90.00
Site moments in Bohr magnetons follow the coordinates.
Sites, in units of the cell vectors:
Fe (0.5000, 0.5000, 0.5000)  2.91
Be (0.0000, 0.0000, 0.5000)  -0.03
Be (0.5000, 0.0000, 0.0000)  -0.03
Be (0.0000, 0.5000, 0.0000)  -0.03
Ge (0.0000, 0.0000, 0.0000)  0.06

Values from the calculation:
**Magnetic moment**: 2.78 μB per formula unit
**Volume**: 70.0 Å³ per cell
**Theoretical density**: 3.69 g/cm³
**Uncorrected energy**: -3.986 eV per atom